No. 1
VASP calculation (PBE) on a relaxed W3CI crystal.

Calculated values
Electronic total energy in eV per atom: -8.79
Space group: Pm-3m, No. 221
Raw formation energy in meV per atom: 1132

```
data_W3CI
_chemical_formula_sum 'W3 C1 I1'
_space_group_name_H-M_alt 'P 1'
_space_group_IT_number 1
_cell_length_a 4.2970
_cell_length_b 4.2970
_cell_length_c 4.2970
_cell_angle_alpha 90.00
_cell_angle_beta 90.00
_cell_angle_gamma 90.00
loop_
_space_group_symop_operation_xyz
'x,y,z'
loop_
_atom_site_label
_atom_site_fract_x
_atom_site_fract_y
_atom_site_fract_z
_atom_site_occupancy
W1 0.0000 0.5000 0.0000 1
W2 0.5000 0.0000 0.0000 1
W3 0.0000 0.0000 0.5000 1
I1 0.5000 0.5000 0.5000 1
C1 0.0000 0.0000 0.0000 1
```

No. 2
VASP calculation (PBE) on a relaxed W3CI crystal.

Calculated values
Electronic total energy in eV per atom: -5.79
Space group: Pm-3m, No. 221
Raw formation energy in meV per atom: 4139

```
data_W3CI
_chemical_formula_sum 'W3 C1 I1'
_space_group_name_H-M_alt 'P 1'
_space_group_IT_number 1
_cell_length_a 4.8594
_cell_length_b 4.8594
_cell_length_c 4.8594
_cell_angle_alpha 90.00
_cell_angle_beta 90.00
_cell_angle_gamma 90.00
loop_
_space_group_symop_operation_xyz
'x,y,z'
loop_
_atom_site_label
_atom_site_fract_x
_atom_site_fract_y
_atom_site_fract_z
_atom_site_occupancy
I1 0.0000 0.0000 0.0000 1
W1 0.0000 0.5000 0.0000 1
W2 0.0000 0.0000 0.5000 1
W3 0.5000 0.0000 0.0000 1
C1 0.5000 0.5000 0.5000 1
```

Taking the records one at a time from the top gives total magnetization values of 0.00, 0.00 μB per atom.